[1]
BaIrBr2 | Alexandria via LeMat-Bulk | PBE | optimized geometry; distance to the lowest polymorph of the same formula = 0.4624 eV per atom; raw formation energy = -0.170 eV per atom; spin magnetization = 0.95 μB per formula unit
1.0
3.558 -4.597 0.000
3.558 4.597 0.000
-3.527 0.000 3.860
Ba Ir Br
1 1 2
Direct
0.000 0.000 0.000 Ba
0.500 0.500 0.000 Ir
0.000 0.500 0.500 Br
0.500 0.000 0.500 Br

=====

[2]
Li2Zn5Cu4 | Alexandria via LeMat-Bulk | PBE | optimized geometry; distance to the lowest polymorph of the same formula = 0.0497 eV per atom; spin magnetization = 0.00 μB per formula unit; energy relative to the elements = -68 meV/atom
1.0
5.697 -2.497 0.000
5.697 2.497 0.000
-5.113 0.000 5.678
Li Zn Cu
2 5 4
Direct
0.213 0.213 0.213 Li
0.787 0.787 0.787 Li
0.250 0.750 0.314 Zn
0.250 0.750 0.686 Zn
0.500 0.500 0.000 Zn
0.750 0.250 0.314 Zn
0.750 0.250 0.686 Zn
0.257 0.257 0.585 Cu
0.257 0.257 0.929 Cu
0.743 0.743 0.071 Cu
0.743 0.743 0.415 Cu

=====

[3]
CuMo2Ru | Alexandria via LeMat-Bulk | PBE | optimized geometry; distance to the lowest polymorph of the same formula = 0.5881 eV per atom; spin magnetization = 0.00 μB per formula unit; energy relative to the elements = 699 meV/atom
1.0
-3.504 3.504 2.604
3.504 -3.504 2.604
3.504 3.504 -2.604
Cu Mo Ru
2 4 2
Direct
0.000 0.000 0.000 Cu
0.750 0.250 0.500 Cu
0.147 0.625 0.022 Mo
0.375 0.397 0.522 Mo
0.603 0.125 0.978 Mo
0.875 0.853 0.478 Mo
0.250 0.750 0.500 Ru
0.500 0.500 0.000 Ru

=====

[4]
RbNi5Se8 | Alexandria via LeMat-Bulk | PBE | optimized geometry; raw formation energy = -0.359 eV per atom; spin magnetization = 0.00 μB per formula unit
1.0
9.284 -1.817 0.000
9.284 1.817 0.000
-2.510 0.000 8.248
Rb Ni Se
1 5 8
Direct
0.000 0.000 0.000 Rb
0.163 0.163 0.501 Ni
0.204 0.204 0.823 Ni
0.500 0.500 0.500 Ni
0.796 0.796 0.177 Ni
0.837 0.837 0.499 Ni
0.071 0.071 0.663 Se
0.257 0.257 0.343 Se
0.326 0.326 0.022 Se
0.410 0.410 0.647 Se
0.590 0.590 0.353 Se
0.674 0.674 0.978 Se
0.743 0.743 0.657 Se
0.929 0.929 0.337 Se

=====

[5]
Zr2Ni2Au | Alexandria via LeMat-Bulk | PBE | optimized geometry; distance to the lowest polymorph of the same formula = 0.3247 eV per atom; spin magnetization = 0.00 μB per formula unit; energy relative to the elements = -221 meV/atom
1.0
-2.454 2.454 3.755
2.454 -2.454 3.755
2.454 2.454 -3.755
Zr Ni Au
2 2 1
Direct
0.250 0.750 0.500 Zr
0.750 0.250 0.500 Zr
0.143 0.143 0.000 Ni
0.857 0.857 0.000 Ni
0.500 0.500 0.000 Au

=====

[6]
CaVH | Alexandria via LeMat-Bulk | PBE | optimized geometry; distance to the lowest polymorph of the same formula = 0.1832 eV per atom; spin magnetization = 0.00 μB per formula unit
1.0
4.700 -2.674 0.000
4.700 2.674 0.000
-1.147 0.000 3.720
Ca V H
2 2 2
Direct
0.155 0.155 0.397 Ca
0.845 0.845 0.603 Ca
0.433 0.433 0.143 V
0.567 0.567 0.857 V
0.000 0.500 0.000 H
0.500 0.000 0.000 H

=====

[7]
Sm3Th | Alexandria via LeMat-Bulk | PBE | optimized geometry; distance to the lowest polymorph of the same formula = 0.0541 eV per atom; spin magnetization = 0.00 μB per formula unit; energy relative to the elements = 82 meV/atom
1.0
5.875 0.000 0.000
0.000 7.276 0.000
0.000 0.000 6.314
Sm Th
6 2
Direct
0.250 0.001 0.165 Sm
0.250 0.499 0.165 Sm
0.250 0.750 0.654 Sm
0.750 0.250 0.346 Sm
0.750 0.501 0.835 Sm
0.750 0.999 0.835 Sm
0.250 0.250 0.672 Th
0.750 0.750 0.328 Th

=====

[8]
Cu3SbO | Alexandria via LeMat-Bulk | PBE | optimized geometry; distance to the lowest polymorph of the same formula = 1.0862 eV per atom; raw formation energy = 1.094 eV per atom; spin magnetization = 0.00 μB per formula unit
1.0
4.825 0.000 0.000
0.000 4.825 0.000
0.000 0.000 4.825
Cu Sb O
3 1 1
Direct
0.000 0.000 0.500 Cu
0.000 0.500 0.000 Cu
0.500 0.000 0.000 Cu
0.000 0.000 0.000 Sb
0.500 0.500 0.500 O

=====

[9]
CeScTc | Alexandria via LeMat-Bulk | PBE | optimized geometry; distance to the lowest polymorph of the same formula = 0.0954 eV per atom; spin magnetization = 0.00 μB per formula unit; energy relative to the elements = -30 meV/atom
1.0
4.644 0.000 0.000
-2.322 4.021 0.000
0.000 0.000 3.253
Ce Sc Tc
1 1 1
Direct
0.000 0.000 0.000 Ce
0.667 0.333 0.427 Sc
0.333 0.667 0.754 Tc

=====

[10]
CaSiNF2 | Alexandria via LeMat-Bulk | PBE | optimized geometry; distance to the lowest polymorph of the same formula = 0.0000 eV per atom; raw formation energy = -1.628 eV per atom; spin magnetization = 0.17 μB per formula unit
1.0
4.262 0.000 0.000
0.000 4.262 0.000
0.000 0.000 3.487
Ca Si N F
1 1 1 2
Direct
0.000 0.000 0.000 Ca
0.500 0.500 0.500 Si
0.500 0.500 0.000 N
0.000 0.500 0.500 F
0.500 0.000 0.500 F

=====

[11]
LiCr2Pb | Alexandria via LeMat-Bulk | PBE | optimized geometry; spin magnetization = 0.00 μB per formula unit; energy relative to the elements = 616 meV/atom
1.0
2.963 0.000 0.000
0.000 4.689 0.000
-0.382 0.000 4.781
Li Cr Pb
1 2 1
Direct
0.000 0.000 0.000 Li
0.332 0.500 0.820 Cr
0.668 0.500 0.180 Cr
0.500 0.000 0.500 Pb

=====

[12]
Ho2C2S | Alexandria via LeMat-Bulk | PBE | optimized geometry; raw formation energy = -0.966 eV per atom; spin magnetization = 0.00 μB per formula unit
1.0
6.882 -1.912 0.000
6.882 1.912 0.000
-1.755 0.000 6.442
Ho C S
4 4 2
Direct
0.079 0.652 0.842 Ho
0.348 0.921 0.658 Ho
0.652 0.079 0.342 Ho
0.921 0.348 0.158 Ho
0.125 0.439 0.463 C
0.439 0.125 0.963 C
0.561 0.875 0.037 C
0.875 0.561 0.537 C
0.276 0.724 0.250 S
0.724 0.276 0.750 S

=====

[13]
Ta2Mn2Au | Alexandria via LeMat-Bulk | PBE | optimized geometry; distance to the lowest polymorph of the same formula = 0.2569 eV per atom; spin magnetization = 1.37 μB per formula unit; energy relative to the elements = 328 meV/atom
1.0
7.399 0.000 0.000
0.000 7.399 0.000
0.000 0.000 2.922
Ta Mn Au
4 4 2
Direct
0.145 0.355 0.000 Ta
0.355 0.855 0.000 Ta
0.645 0.145 0.000 Ta
0.855 0.645 0.000 Ta
0.150 0.650 0.500 Mn
0.350 0.150 0.500 Mn
0.650 0.850 0.500 Mn
0.850 0.350 0.500 Mn
0.000 0.000 0.000 Au
0.500 0.500 0.000 Au

=====

[14]
Li2PuSiS4 | Alexandria via LeMat-Bulk | PBE | optimized geometry; raw formation energy = -1.035 eV per atom; spin magnetization = 4.85 μB per formula unit
1.0
-3.622 3.875 5.382
3.622 -3.875 5.382
3.622 3.875 -5.382
Li Pu Si S
4 2 2 8
Direct
0.000 0.000 0.000 Li
0.500 0.000 0.000 Li
0.500 0.000 0.500 Li
0.500 0.500 0.500 Li
0.000 0.500 0.500 Pu
0.500 0.500 0.000 Pu
0.000 0.000 0.500 Si
0.000 0.500 0.000 Si
0.223 0.248 0.975 S
0.227 0.752 0.475 S
0.234 0.226 0.492 S
0.234 0.741 0.008 S
0.766 0.259 0.992 S
0.766 0.774 0.508 S
0.773 0.248 0.525 S
0.777 0.752 0.025 S

=====

[15]
Sm3ZrNi8 | Alexandria via LeMat-Bulk | PBE | optimized geometry; spin magnetization = 0.00 μB per formula unit; energy relative to the elements = -350 meV/atom
1.0
2.539 1.466 8.312
-2.539 1.466 8.312
0.000 -2.932 8.312
Sm Zr Ni
3 1 8
Direct
0.000 0.000 0.000 Sm
0.126 0.126 0.126 Sm
0.501 0.501 0.501 Sm
0.625 0.625 0.625 Zr
0.056 0.562 0.562 Ni
0.064 0.064 0.568 Ni
0.064 0.568 0.064 Ni
0.313 0.313 0.313 Ni
0.562 0.056 0.562 Ni
0.562 0.562 0.056 Ni
0.568 0.064 0.064 Ni
0.813 0.813 0.813 Ni

=====

[16]
Tb5Sm4In | Alexandria via LeMat-Bulk | PBE | optimized geometry; distance to the lowest polymorph of the same formula = 0.0000 eV per atom; spin magnetization = 0.00 μB per formula unit; energy relative to the elements = 12 meV/atom
1.0
4.168 0.000 0.000
0.000 4.168 0.000
0.000 0.000 18.179
Tb Sm In
5 4 1
Direct
0.000 0.000 0.000 Tb
0.000 0.000 0.206 Tb
0.000 0.000 0.412 Tb
0.000 0.000 0.588 Tb
0.000 0.000 0.794 Tb
0.500 0.500 0.101 Sm
0.500 0.500 0.303 Sm
0.500 0.500 0.697 Sm
0.500 0.500 0.899 Sm
0.500 0.500 0.500 In

=====

[17]
SrBeSb | Alexandria via LeMat-Bulk | PBE | optimized geometry; distance to the lowest polymorph of the same formula = 0.0000 eV per atom; raw formation energy = -0.473 eV per atom; spin magnetization = 0.00 μB per formula unit
1.0
4.247 0.000 0.000
-2.123 3.678 0.000
0.000 0.000 4.804
Sr Be Sb
1 1 1
Direct
0.000 0.000 0.000 Sr
0.667 0.333 0.498 Be
0.333 0.667 0.500 Sb

=====

[18]
CaCu2GeS4 | Alexandria via LeMat-Bulk | PBE | optimized geometry; raw formation energy = -0.738 eV per atom; spin magnetization = 0.00 μB per formula unit
1.0
0.000 4.153 4.866
4.149 0.000 4.866
4.149 4.153 0.000
Ca Cu Ge S
1 2 1 4
Direct
0.000 0.000 0.000 Ca
0.251 0.251 0.249 Cu
0.751 0.751 0.749 Cu
0.501 0.501 0.499 Ge
0.145 0.574 0.426 S
0.427 0.857 0.573 S
0.574 0.145 0.855 S
0.857 0.427 0.143 S

=====

[19]
ErPuHgPd | Alexandria via LeMat-Bulk | PBE | optimized geometry; spin magnetization = 5.59 μB per formula unit; energy relative to the elements = -395 meV/atom
1.0
0.000 3.625 3.625
3.625 0.000 3.625
3.625 3.625 0.000
Er Pu Hg Pd
1 1 1 1
Direct
0.000 0.000 0.000 Er
0.500 0.500 0.500 Pu
0.750 0.750 0.750 Hg
0.250 0.250 0.250 Pd

=====

[20]
TbDy5Al4 | Alexandria via LeMat-Bulk | PBE | optimized geometry; spin magnetization = 0.00 μB per formula unit; energy relative to the elements = -311 meV/atom
1.0
3.575 0.000 0.000
0.000 3.575 0.000
0.000 0.000 19.670
Tb Dy Al
1 5 4
Direct
0.000 0.000 0.000 Tb
0.500 0.500 0.128 Dy
0.500 0.500 0.315 Dy
0.500 0.500 0.500 Dy
0.500 0.500 0.685 Dy
0.500 0.500 0.872 Dy
0.000 0.000 0.221 Al
0.000 0.000 0.407 Al
0.000 0.000 0.593 Al
0.000 0.000 0.779 Al